No. 1
# Pr8CN3 | Alexandria via LeMat-Bulk | PBE | relaxed
# uncorrected formation energy = -0.65 eV per atom
# DOS(E_F) = 9.743 states/eV/f.u.
data_Pr8CN3
_chemical_formula_sum 'Pr16 C2 N6'
_cell_length_a 12.8129
_cell_length_b 7.3947
_cell_length_c 7.7736
_cell_angle_alpha 90.00
_cell_angle_beta 123.46
_cell_angle_gamma 90.00
_space_group_name_H-M_alt 'C 1 2/m 1'
_space_group_IT_number 12
_space_group_name_Hall '-C 2y'
loop_
_atom_site_label
_atom_site_fract_x
_atom_site_fract_y
_atom_site_fract_z
Pr1 0.0115 0.2477 0.2830
Pr2 0.2384 0.0000 0.7143
Pr3 0.2409 0.5000 0.7170
C1 0.0000 0.5000 0.5000
N1 0.0000 0.0000 0.5000
N2 0.2500 0.2500 0.5000

---

No. 2
# Pr6CN2 | Alexandria via LeMat-Bulk | PBE | relaxed
# uncorrected formation energy = -0.58 eV per atom
# DOS(E_F) = 8.308 states/eV/f.u.
data_Pr6CN2
_chemical_formula_sum 'Pr12 C2 N4'
_cell_length_a 16.8273
_cell_length_b 3.7057
_cell_length_c 7.7889
_cell_angle_alpha 90.00
_cell_angle_beta 107.38
_cell_angle_gamma 90.00
_space_group_name_H-M_alt 'C 1 2/m 1'
_space_group_IT_number 12
_space_group_name_Hall '-C 2y'
loop_
_atom_site_label
_atom_site_fract_x
_atom_site_fract_y
_atom_site_fract_z
Pr1 0.0084 0.0000 0.2344
Pr2 0.1608 0.5000 0.1047
Pr3 0.1747 0.5000 0.5631
C1 0.0000 0.5000 0.0000
N1 0.1682 0.0000 0.3353

---

No. 3
# PrCN | Alexandria via LeMat-Bulk | PBE | relaxed
# uncorrected formation energy = -0.50 eV per atom
# excess energy over the best structure of this formula in the dataset = 0 meV/atom
# DOS(E_F) = 1.558 states/eV/f.u.
data_PrCN
_chemical_formula_sum 'Pr2 C2 N2'
_cell_length_a 3.8039
_cell_length_b 3.8039
_cell_length_c 6.3396
_cell_angle_alpha 90.00
_cell_angle_beta 90.00
_cell_angle_gamma 90.00
_space_group_name_H-M_alt 'I 4 m m'
_space_group_IT_number 107
_space_group_name_Hall 'I 4 -2'
loop_
_atom_site_label
_atom_site_fract_x
_atom_site_fract_y
_atom_site_fract_z
Pr1 0.0000 0.0000 0.0000
C1 0.0000 0.0000 0.4003
N1 0.0000 0.0000 0.6003

---

No. 4
# Pr3CN5 | Alexandria via LeMat-Bulk | PBE | relaxed
# uncorrected formation energy = -0.62 eV per atom
# DOS(E_F) = 5.774 states/eV/f.u.
data_Pr3CN5
_chemical_formula_sum 'Pr12 C4 N20'
_cell_length_a 6.7788
_cell_length_b 6.7788
_cell_length_c 10.4628
_cell_angle_alpha 90.00
_cell_angle_beta 90.00
_cell_angle_gamma 90.00
_space_group_name_H-M_alt 'I 4/m c m'
_space_group_IT_number 140
_space_group_name_Hall '-I 4 2c'
loop_
_atom_site_label
_atom_site_fract_x
_atom_site_fract_y
_atom_site_fract_z
Pr1 0.0000 0.0000 0.2500
Pr2 0.1857 0.3143 0.0000
C1 0.0000 0.5000 0.2500
N1 0.0000 0.0000 0.0000
N2 0.1190 0.3810 0.3389

---

No. 5
# Pr8CN2 | Alexandria via LeMat-Bulk | PBE | relaxed
# uncorrected formation energy = -0.28 eV per atom
# DOS(E_F) = 7.182 states/eV/f.u.
data_Pr8CN2
_chemical_formula_sum 'Pr16 C2 N4'
_cell_length_a 10.0416
_cell_length_b 9.7326
_cell_length_c 6.5935
_cell_angle_alpha 90.00
_cell_angle_beta 109.42
_cell_angle_gamma 90.00
_space_group_name_H-M_alt 'C 1 2/m 1'
_space_group_IT_number 12
_space_group_name_Hall '-C 2y'
loop_
_atom_site_label
_atom_site_fract_x
_atom_site_fract_y
_atom_site_fract_z
Pr1 0.0356 0.0000 0.2422
Pr2 0.1398 0.3210 0.7618
Pr3 0.1702 0.5000 0.2682
C1 0.0000 0.5000 0.5000
N1 0.2030 0.0000 0.0021

---

No. 6
# RbPr2C2N6 | Alexandria via LeMat-Bulk | PBE | relaxed
# uncorrected formation energy = -0.32 eV per atom
# DOS(E_F) = 3.489 states/eV/f.u.
data_RbPr2C2N6
_chemical_formula_sum 'Rb2 Pr4 C4 N12'
_cell_length_a 10.4660
_cell_length_b 6.4158
_cell_length_c 6.4074
_cell_angle_alpha 90.00
_cell_angle_beta 113.07
_cell_angle_gamma 90.00
_space_group_name_H-M_alt 'C 1 2/m 1'
_space_group_IT_number 12
_space_group_name_Hall '-C 2y'
loop_
_atom_site_label
_atom_site_fract_x
_atom_site_fract_y
_atom_site_fract_z
Rb1 0.0000 0.0000 0.0000
Pr1 0.1701 0.5000 0.2992
C1 0.1655 0.5000 0.7528
N1 0.0807 0.5000 0.8643
N2 0.2106 0.3241 0.6901

---

No. 7
# Pr2RhC2N6 | Alexandria via LeMat-Bulk | PBE | relaxed
# uncorrected formation energy = -0.32 eV per atom
# DOS(E_F) = 4.214 states/eV/f.u.
data_Pr2RhC2N6
_chemical_formula_sum 'Pr6 Rh3 C6 N18'
_cell_length_a 5.1654
_cell_length_b 5.1654
_cell_length_c 15.9752
_cell_angle_alpha 90.00
_cell_angle_beta 90.00
_cell_angle_gamma 120.00
_space_group_name_H-M_alt 'R -3 m'
_space_group_IT_number 166
_space_group_name_Hall '-R 3 2"'
loop_
_atom_site_label
_atom_site_fract_x
_atom_site_fract_y
_atom_site_fract_z
Pr1 0.0000 0.0000 0.2194
Rh1 0.0000 0.0000 0.0000
C1 0.0000 0.0000 0.4108
N1 0.0279 0.5140 0.2496

---

No. 8
# Pr4CS2N | Alexandria via LeMat-Bulk | PBE | relaxed
# uncorrected formation energy = -1.39 eV per atom
# DOS(E_F) = 1.446 states/eV/f.u.
data_Pr4CS2N
_chemical_formula_sum 'Pr4 C1 S2 N1'
_cell_length_a 6.7108
_cell_length_b 3.8818
_cell_length_c 7.0034
_cell_angle_alpha 90.00
_cell_angle_beta 108.65
_cell_angle_gamma 90.00
_space_group_name_H-M_alt 'P 1 2/m 1'
_space_group_IT_number 10
_space_group_name_Hall '-P 2y'
loop_
_atom_site_label
_atom_site_fract_x
_atom_site_fract_y
_atom_site_fract_z
Pr1 0.2378 0.0000 0.2139
Pr2 0.2605 0.5000 0.7824
C1 0.5000 0.0000 0.0000
S1 0.0000 0.0000 0.5000
S2 0.5000 0.5000 0.5000
N1 0.0000 0.5000 0.0000